# 1
Tb3TlTc | PBE-GGA | relaxed

POSCAR file:
```
Tb3TlTc
1.0
6.4153 -2.6758 0.0000
6.4153 2.6758 0.0000
-3.5254 0.0000 7.9005
Tb Tl Tc
6 2 2
Direct
0.0777 0.0777 0.2287
0.2117 0.2117 0.7219
0.4120 0.4120 0.1199
0.5880 0.5880 0.8801
0.7883 0.7883 0.2781
0.9223 0.9223 0.7713
0.3747 0.3747 0.5053
0.6253 0.6253 0.4947
0.1827 0.1827 0.0176
0.8173 0.8173 0.9824
```

Properties
- Excess energy over the best structure of this formula in the dataset: 66.9 meV per atom

# 2
Cs4TiTe5 | PBE-GGA | relaxed

POSCAR file:
```
Cs4TiTe5
1.0
-5.7732 5.7732 3.8832
5.7732 -5.7732 3.8832
5.7732 5.7732 -3.8832
Cs Ti Te
4 1 5
Direct
0.0747 0.3003 0.3750
0.3003 0.9253 0.2256
0.6997 0.0747 0.7744
0.9253 0.6997 0.6250
0.6016 0.6016 0.0000
0.2817 0.5621 0.8551
0.4266 0.2817 0.7196
0.5621 0.7070 0.2804
0.7070 0.4266 0.1449
0.9357 0.9357 0.0000
```

Properties
- Uncorrected formation energy: -8.0 eV per formula unit

# 3
MgAs2Ir | PBE-GGA | relaxed

POSCAR file:
```
MgAs2Ir
1.0
3.7734 0.0000 0.0000
-1.8867 3.2679 0.0000
0.0000 0.0000 18.7686
Mg As Ir
3 6 3
Direct
0.0000 0.0000 0.0000
0.3333 0.6667 0.6667
0.6667 0.3333 0.3333
0.0000 0.0000 0.2343
0.0000 0.0000 0.7657
0.3333 0.6667 0.4324
0.3333 0.6667 0.9010
0.6667 0.3333 0.0990
0.6667 0.3333 0.5676
0.0000 0.0000 0.5000
0.3333 0.6667 0.1667
0.6667 0.3333 0.8333
```

Properties
- Total energy: -62.1 eV per cell

# 4
TeAs2 | PBE-GGA | relaxed

POSCAR file:
```
TeAs2
1.0
3.5469 0.0000 0.0000
0.0000 3.5469 0.0000
0.0000 0.0000 13.0462
Te As
2 4
Direct
0.0000 0.0000 0.0000
0.5000 0.5000 0.5000
0.0000 0.0000 0.2192
0.0000 0.0000 0.7808
0.5000 0.5000 0.2808
0.5000 0.5000 0.7192
```

Properties
- Uncorrected formation energy: 0.6 eV per formula unit

# 5
BaSrRu2 | PBE-GGA | relaxed

POSCAR file:
```
BaSrRu2
1.0
8.3097 0.0000 0.0000
0.0000 8.3097 0.0000
0.0000 0.0000 6.1418
Ba Sr Ru
4 4 8
Direct
0.0000 0.0000 0.0000
0.0000 0.5000 0.2500
0.5000 0.0000 0.7500
0.5000 0.5000 0.5000
0.0000 0.0000 0.5000
0.0000 0.5000 0.7500
0.5000 0.0000 0.2500
0.5000 0.5000 0.0000
0.2490 0.7500 0.6250
0.2500 0.2490 0.3750
0.2500 0.2510 0.8750
0.2510 0.7500 0.1250
0.7490 0.2500 0.1250
0.7500 0.7490 0.8750
0.7500 0.7510 0.3750
0.7510 0.2500 0.6250
```

Properties
- Excess energy over the best structure of this formula in the dataset: 958.0 meV per atom

# 6
Hg3S | PBE-GGA | relaxed

POSCAR file:
```
Hg3S
1.0
3.7443 0.0000 0.0000
0.0000 8.3882 0.0000
0.0000 0.0000 6.6801
Hg S
6 2
Direct
0.0000 0.0000 0.0000
0.0000 0.2289 0.5012
0.0000 0.7711 0.5012
0.5000 0.2711 0.0012
0.5000 0.5000 0.5000
0.5000 0.7289 0.0012
0.0000 0.5000 0.0025
0.5000 0.0000 0.5025
```

Properties
- Uncorrected formation energy: 0.4 eV per formula unit

# 7
K2Rb2Ge3 | PBE-GGA | relaxed

POSCAR file:
```
K2Rb2Ge3
1.0
11.3765 0.0000 0.0000
0.0000 6.0356 0.0000
-2.8371 0.0000 7.2481
K Rb Ge
4 4 6
Direct
0.1582 0.0000 0.2643
0.3418 0.5000 0.7357
0.6582 0.5000 0.2643
0.8418 0.0000 0.7357
0.1714 0.0000 0.7630
0.3286 0.5000 0.2370
0.6714 0.5000 0.7630
0.8286 0.0000 0.2370
0.0000 0.5000 0.5000
0.0250 0.5000 0.8580
0.4750 0.0000 0.1420
0.5000 0.0000 0.5000
0.5250 0.0000 0.8580
0.9750 0.5000 0.1420
```

Properties
- Total energy: -35.8 eV per cell

# 8
CaOsSe4 | PBE-GGA | relaxed

POSCAR file:
```
CaOsSe4
1.0
0.0000 4.0419 4.0419
4.0419 0.0000 4.0419
4.0419 4.0419 0.0000
Ca Os Se
1 1 4
Direct
0.0000 0.0000 0.0000
0.7500 0.7500 0.7500
0.3764 0.3764 0.3764
0.3764 0.3764 0.8708
0.3764 0.8708 0.3764
0.8708 0.3764 0.3764
```

Properties
- Uncorrected formation energy: 4.4 eV per formula unit

| no. | total magnetization (Bohr magnetons per cell) |
| --- | --- |
| 1 | 0.0 |
| 2 | 0.0 |
| 3 | 0.0 |
| 4 | 0.0 |
| 5 | 10.1 |
| 6 | 0.0 |
| 7 | 0.0 |
| 8 | 3.3 |